The following is a meta-GGA SCAN calculation of a crystal of GeS2O relaxed with PBEsol, from Alexandria via LeMat-Bulk.

## Properties
N(E_F) ... 9.97 states/eV per cell
E_tot ... -165.23 eV/cell
Formation energy (no corrections) ... 0.817 eV per atom

```
data_GeS2O
_symmetry_space_group_name_H-M 'F m -3 m'
_symmetry_Int_Tables_number 225
_symmetry_space_group_name_Hall '-F 4 2 3'
_cell_length_a 5.920
_cell_length_b 5.920
_cell_length_c 5.920
_cell_angle_alpha 90.00
_cell_angle_beta 90.00
_cell_angle_gamma 90.00
loop_
_atom_site_label
_atom_site_type_symbol
_atom_site_fract_x
_atom_site_fract_y
_atom_site_fract_z
Ge1 Ge 0.000 0.000 0.000
S1 S 0.250 0.250 0.250
O1 O 0.000 0.000 0.500
```

The following is a meta-GGA SCAN calculation of a crystal of Sr2SbRu relaxed with PBEsol, from Alexandria via LeMat-Bulk.

## Properties
N(E_F) ... 10.87 states/eV per cell
E_tot ... -467.13 eV/cell
Formation energy (no corrections) ... -0.036 eV per atom

```
data_Sr2SbRu
_symmetry_space_group_name_H-M 'F m -3 m'
_symmetry_Int_Tables_number 225
_symmetry_space_group_name_Hall '-F 4 2 3'
_cell_length_a 7.496
_cell_length_b 7.496
_cell_length_c 7.496
_cell_angle_alpha 90.00
_cell_angle_beta 90.00
_cell_angle_gamma 90.00
loop_
_atom_site_label
_atom_site_type_symbol
_atom_site_fract_x
_atom_site_fract_y
_atom_site_fract_z
Sr1 Sr 0.250 0.250 0.250
Sb1 Sb 0.000 0.000 0.000
Ru1 Ru 0.000 0.000 0.500
```

The following is a meta-GGA SCAN calculation of a crystal of Mn2IrRh relaxed with PBEsol, from Alexandria via LeMat-Bulk.

## Properties
N(E_F) ... 13.33 states/eV per cell
Energy of formation ... -2.1 eV/f.u.
E_tot ... -573.86 eV/cell

```
data_Mn2IrRh
_symmetry_space_group_name_H-M 'F m -3 m'
_symmetry_Int_Tables_number 225
_symmetry_space_group_name_Hall '-F 4 2 3'
_cell_length_a 5.978
_cell_length_b 5.978
_cell_length_c 5.978
_cell_angle_alpha 90.00
_cell_angle_beta 90.00
_cell_angle_gamma 90.00
loop_
_atom_site_label
_atom_site_type_symbol
_atom_site_fract_x
_atom_site_fract_y
_atom_site_fract_z
Mn1 Mn 0.250 0.250 0.250
Ir1 Ir 0.000 0.000 0.000
Rh1 Rh 0.000 0.000 0.500
```

The following is a meta-GGA SCAN calculation of a crystal of HoPd relaxed with PBEsol, from Alexandria via LeMat-Bulk.

## Properties
N(E_F) ... 4.11 states/eV per cell
Energy of formation ... -2.1 eV/f.u.
E_tot ... -335.37 eV/cell

```
data_HoPd
_symmetry_space_group_name_H-M 'P n m a'
_symmetry_Int_Tables_number 62
_cell_length_a 6.742
_cell_length_b 4.552
_cell_length_c 5.453
_cell_angle_alpha 90.00
_cell_angle_beta 90.00
_cell_angle_gamma 90.00
loop_
_symmetry_equiv_pos_as_xyz
'x,y,z'
'-x,-y,-z'
'-x+1/2,-y,z+1/2'
'x+1/2,y,-z+1/2'
'x+1/2,-y+1/2,-z+1/2'
'-x+1/2,y+1/2,z+1/2'
'-x,y+1/2,-z'
'x,-y+1/2,z'
loop_
_atom_site_label
_atom_site_type_symbol
_atom_site_fract_x
_atom_site_fract_y
_atom_site_fract_z
Ho1 Ho 0.182 0.250 0.144
Pd1 Pd 0.042 0.250 0.654
```

The following is a meta-GGA SCAN calculation of a crystal of Ba2SrBi2 relaxed with PBEsol, from Alexandria via LeMat-Bulk.

## Properties
N(E_F) ... 0.99 states/eV per cell
Energy of formation ... -4.7 eV/f.u.
E_tot ... -526.55 eV/cell

```
data_Ba2SrBi2
_symmetry_space_group_name_H-M 'P 4/m b m'
_symmetry_Int_Tables_number 127
_symmetry_space_group_name_Hall '-P 4 2ab'
_cell_length_a 9.368
_cell_length_b 9.368
_cell_length_c 4.650
_cell_angle_alpha 90.00
_cell_angle_beta 90.00
_cell_angle_gamma 90.00
loop_
_atom_site_label
_atom_site_type_symbol
_atom_site_fract_x
_atom_site_fract_y
_atom_site_fract_z
Ba1 Ba 0.133 0.367 0.000
Sr1 Sr 0.000 0.000 0.500
Bi1 Bi 0.170 0.670 0.500
```

The following is a meta-GGA SCAN calculation of a crystal of Sb2OsCl relaxed with PBEsol, from Alexandria via LeMat-Bulk.

## Properties
N(E_F) ... 14.96 states/eV per cell
ΔE to the lowest computed polymorph ... 0.000 eV/atom
E_tot ... -607.14 eV/cell
Formation energy (no corrections) ... 0.649 eV per atom

```
data_Sb2OsCl
_symmetry_space_group_name_H-M 'F m -3 m'
_symmetry_Int_Tables_number 225
_symmetry_space_group_name_Hall '-F 4 2 3'
_cell_length_a 6.726
_cell_length_b 6.726
_cell_length_c 6.726
_cell_angle_alpha 90.00
_cell_angle_beta 90.00
_cell_angle_gamma 90.00
loop_
_atom_site_label
_atom_site_type_symbol
_atom_site_fract_x
_atom_site_fract_y
_atom_site_fract_z
Sb1 Sb 0.250 0.250 0.250
Os1 Os 0.000 0.000 0.000
Cl1 Cl 0.000 0.000 0.500
```

The following is a meta-GGA SCAN calculation of a crystal of Mg2SbOs relaxed with PBEsol, from Alexandria via LeMat-Bulk.

## Properties
N(E_F) ... 8.78 states/eV per cell
E_tot ... -474.96 eV/cell
Formation energy (no corrections) ... 0.087 eV per atom

```
data_Mg2SbOs
_symmetry_space_group_name_H-M 'F -4 3 m'
_symmetry_Int_Tables_number 216
_symmetry_space_group_name_Hall 'F -4 2 3'
_cell_length_a 6.520
_cell_length_b 6.520
_cell_length_c 6.520
_cell_angle_alpha 90.00
_cell_angle_beta 90.00
_cell_angle_gamma 90.00
loop_
_atom_site_label
_atom_site_type_symbol
_atom_site_fract_x
_atom_site_fract_y
_atom_site_fract_z
Mg1 Mg 0.000 0.000 0.000
Mg2 Mg 0.250 0.250 0.250
Sb1 Sb 0.000 0.000 0.500
Os1 Os 0.250 0.250 0.750
```

The following is a meta-GGA SCAN calculation of a crystal of LiAl2HgRh relaxed with PBEsol, from Alexandria via LeMat-Bulk.

## Properties
N(E_F) ... 2.00 states/eV per cell
Energy of formation ... -1.1 eV/f.u.
E_tot ... -120.93 eV/cell

```
data_LiAl2HgRh
_symmetry_space_group_name_H-M 'P 4/m m m'
_symmetry_Int_Tables_number 123
_symmetry_space_group_name_Hall '-P 4 2'
_cell_length_a 4.633
_cell_length_b 4.633
_cell_length_c 5.210
_cell_angle_alpha 90.00
_cell_angle_beta 90.00
_cell_angle_gamma 90.00
loop_
_atom_site_label
_atom_site_type_symbol
_atom_site_fract_x
_atom_site_fract_y
_atom_site_fract_z
Li1 Li 0.000 0.000 0.000
Al1 Al 0.000 0.500 0.500
Hg1 Hg 0.500 0.500 0.000
Rh1 Rh 0.500 0.500 0.500
```